(1)
# PBE TmLuMg2Au4, optimized geometry
# crystal system	tetragonal
# total DFT energy (no corrections)	-3.936	eV per atom
# size of the total moment	0.00	μB/cell
# volume	19.883	Å³/atom
data_TmLuMg2Au4
_chemical_formula_sum 'Tm1 Lu1 Mg2 Au4'
_symmetry_space_group_name_H-M 'P 4/m m m'
_symmetry_Int_Tables_number 123
_symmetry_space_group_name_Hall '-P 4 2'
_cell_length_a 4.8270
_cell_length_b 4.8270
_cell_length_c 6.8267
_cell_angle_alpha 90.00
_cell_angle_beta 90.00
_cell_angle_gamma 90.00
loop_
_atom_site_label
_atom_site_type_symbol
_atom_site_fract_x
_atom_site_fract_y
_atom_site_fract_z
Tm1 Tm 0.0000 0.0000 0.0000
Lu1 Lu 0.5000 0.5000 0.5000
Mg1 Mg 0.0000 0.0000 0.5000
Mg2 Mg 0.5000 0.5000 0.0000
Au1 Au 0.0000 0.5000 0.2502

(2)
# PBE ZrFeSbPd, optimized geometry
# relative energy among the computed polymorphs	0	meV/atom
# crystal system	cubic
# size of the total moment	6.61	μB/cell
# volume	17.349	Å³/atom
data_ZrFeSbPd
_chemical_formula_sum 'Zr4 Fe4 Sb4 Pd4'
_symmetry_space_group_name_H-M 'F -4 3 m'
_symmetry_Int_Tables_number 216
_symmetry_space_group_name_Hall 'F -4 2 3'
_cell_length_a 6.5233
_cell_length_b 6.5233
_cell_length_c 6.5233
_cell_angle_alpha 90.00
_cell_angle_beta 90.00
_cell_angle_gamma 90.00
loop_
_atom_site_label
_atom_site_type_symbol
_atom_site_fract_x
_atom_site_fract_y
_atom_site_fract_z
Zr1 Zr 0.0000 0.0000 0.0000
Fe1 Fe 0.2500 0.2500 0.7500
Sb1 Sb 0.0000 0.0000 0.5000
Pd1 Pd 0.2500 0.2500 0.2500

(3)
# PBE YCoSnOs, optimized geometry
# relative energy among the computed polymorphs	438	meV/atom
# crystal system	cubic
# size of the total moment	11.61	μB/cell
# volume	18.168	Å³/atom
data_YCoSnOs
_chemical_formula_sum 'Y4 Co4 Sn4 Os4'
_symmetry_space_group_name_H-M 'F -4 3 m'
_symmetry_Int_Tables_number 216
_symmetry_space_group_name_Hall 'F -4 2 3'
_cell_length_a 6.6244
_cell_length_b 6.6244
_cell_length_c 6.6244
_cell_angle_alpha 90.00
_cell_angle_beta 90.00
_cell_angle_gamma 90.00
loop_
_atom_site_label
_atom_site_type_symbol
_atom_site_fract_x
_atom_site_fract_y
_atom_site_fract_z
Y1 Y 0.0000 0.0000 0.0000
Co1 Co 0.0000 0.0000 0.5000
Sn1 Sn 0.2500 0.2500 0.2500
Os1 Os 0.2500 0.2500 0.7500

(4)
# PBE K2Er2Ta, optimized geometry
# crystal system	monoclinic
# total DFT energy (no corrections)	-3.759	eV per atom
# size of the total moment	2.40	μB/cell
# volume	40.261	Å³/atom
data_K2Er2Ta
_chemical_formula_sum 'K4 Er4 Ta2'
_symmetry_space_group_name_H-M 'P 1 2/m 1'
_symmetry_Int_Tables_number 10
_symmetry_space_group_name_Hall '-P 2y'
_cell_length_a 10.9903
_cell_length_b 3.3166
_cell_length_c 11.0467
_cell_angle_alpha 90.00
_cell_angle_beta 90.82
_cell_angle_gamma 90.00
loop_
_atom_site_label
_atom_site_type_symbol
_atom_site_fract_x
_atom_site_fract_y
_atom_site_fract_z
K1 K 0.0510 0.0000 0.2983
K2 K 0.2987 0.0000 0.9461
Er1 Er 0.2932 0.0000 0.5867
Er2 Er 0.4104 0.0000 0.2924
Ta1 Ta 0.0000 0.5000 0.0000
Ta2 Ta 0.5000 0.5000 0.5000

(5)
# PBE NaCu3GeS4, optimized geometry
# relative energy among the computed polymorphs	55	meV/atom
# crystal system	cubic
# volume	20.917	Å³/atom
data_NaCu3GeS4
_chemical_formula_sum 'Na1 Cu3 Ge1 S4'
_symmetry_space_group_name_H-M 'P -4 3 m'
_symmetry_Int_Tables_number 215
_symmetry_space_group_name_Hall 'P -4 2 3'
_cell_length_a 5.7313
_cell_length_b 5.7313
_cell_length_c 5.7313
_cell_angle_alpha 90.00
_cell_angle_beta 90.00
_cell_angle_gamma 90.00
loop_
_atom_site_label
_atom_site_type_symbol
_atom_site_fract_x
_atom_site_fract_y
_atom_site_fract_z
Na1 Na 0.0000 0.0000 0.0000
Cu1 Cu 0.0000 0.5000 0.5000
Ge1 Ge 0.5000 0.5000 0.5000
S1 S 0.2749 0.2749 0.2749

Q: Which of these has the lowest volume?
A: ZrFeSbPd

Q: Look up the volume of the first one.
A: 19.883 Å³/atom

Q: Number 3 is which compound?
A: YCoSnOs